A plane-wave DFT calculation with PBE-GGA was carried out for a relaxed structure of KSn2Hg4.

Values from the calculation:
**Space group**: No. 65
**ΔH_f (0 K)**: -0.067 eV per atom
**Crystal system**: orthorhombic
**E**: -1.5398 eV per atom
**Offset from the most stable computed form**: 0.0 meV per atom

Cell lengths 5.2868, 5.2004, 8.1494 Å; angles 108.61, 90.00, 90.00 degrees
With the nearest neighbours (Å) after each atom.
Fractional positions:
K (0.0000, 0.0000, 0.0000)  8 Hg 3.84-3.94, 8 Sn 3.99
Sn (0.5000, 0.5960, 0.1920)  4 Hg 2.91-3.03, 1 Sn 2.97
Sn (0.5000, 0.4040, 0.8080)  4 Hg 2.91-3.03, 1 Sn 2.97
Hg (0.5000, 0.8200, 0.6400)  2 Sn 2.91
Hg (0.0000, 0.6918, 0.3836)  2 Sn 3.03, 4 Hg 3.16-3.30
Hg (0.5000, 0.1800, 0.3600)  2 Sn 2.91
Hg (0.0000, 0.3082, 0.6164)  2 Sn 3.03, 4 Hg 3.16-3.30

***

A plane-wave DFT calculation with PBE-GGA was carried out for a relaxed structure of K2RhI4.

Values from the calculation:
**Space group**: No. 139
**Uncorrected formation energy**: -0.820 eV/atom
**Crystal system**: tetragonal
**E**: -3.0693 eV per atom

Cell lengths 5.5912, 5.5912, 9.5344 Å; angles 107.05, 107.05, 90.00 degrees
With the nearest neighbours (Å) after each atom.
Fractional positions:
I (0.8432, 0.8432, 0.6864)  1 Rh 2.72
I (0.1568, 0.1568, 0.3136)  1 Rh 2.72
I (0.0000, 0.5000, 0.0000)  2 Rh 2.80
I (0.5000, 0.0000, 0.0000)  2 Rh 2.80
K (0.6359, 0.6359, 0.2718)  9 I 3.60-3.97
K (0.3641, 0.3641, 0.7282)  9 I 3.60-3.97
Rh (0.0000, 0.0000, 0.0000)  6 I 2.72-2.80

***

A plane-wave DFT calculation with PBE-GGA was carried out for a relaxed structure of Sm4CdAg3.

Values from the calculation:
**Space group**: No. 25
**ΔH_f (0 K)**: -0.247 eV per atom
**Crystal system**: orthorhombic
**E**: -3.7904 eV per atom
**Offset from the most stable computed form**: 36.4 meV per atom

Cell lengths 3.7082, 4.9064, 11.6959 Å; angles 90.00, 90.00, 90.00 degrees
With the nearest neighbours (Å) after each atom.
Fractional positions:
Sm (0.5000, 0.5000, 0.3572)  6 Ag 3.15-3.18, 1 Cd 3.31
Sm (0.0000, 0.5000, 0.8441)  5 Ag 3.15-3.21, 2 Cd 3.27
Sm (0.0000, 0.0000, 0.1551)  3 Ag 3.18-3.29, 4 Cd 3.22
Sm (0.5000, 0.0000, 0.6452)  7 Ag 3.16-3.24
Cd (0.5000, 0.5000, 0.0744)  2 Ag 3.03, 7 Sm 3.22-3.31
Ag (0.0000, 0.5000, 0.5749)  2 Ag 3.00, 7 Sm 3.15-3.18
Ag (0.0000, 0.0000, 0.4267)  2 Ag 3.00, 7 Sm 3.16-3.18
Ag (0.5000, 0.0000, 0.9224)  2 Cd 3.03, 7 Sm 3.21-3.29

***

A plane-wave DFT calculation with PBE-GGA was carried out for a relaxed structure of RbBi2I7.

Values from the calculation:
**Space group**: No. 65
**Uncorrected formation energy**: -0.561 eV/atom
**Crystal system**: orthorhombic
**E**: -2.5193 eV per atom

Cell lengths 6.1646, 9.3365, 9.3365 Å; angles 115.18, 90.00, 90.00 degrees
With the nearest neighbours (Å) after each atom.
Fractional positions:
Rb (0.0000, 0.0000, 0.0000)  10 I 4.17-4.19
Bi (0.5000, 0.7096, 0.2904)  7 I 3.11-3.32
Bi (0.5000, 0.2904, 0.7096)  7 I 3.11-3.32
I (0.0000, 0.7357, 0.2643)  2 Bi 3.11
I (0.0000, 0.2643, 0.7357)  2 Bi 3.11
I (0.5000, 0.0567, 0.3239)  2 Bi 3.12-3.32
I (0.5000, 0.9433, 0.6761)  2 Bi 3.12-3.32
I (0.5000, 0.3239, 0.0567)  2 Bi 3.12-3.32
I (0.5000, 0.6761, 0.9433)  2 Bi 3.12-3.32
I (0.5000, 0.5000, 0.5000)  2 Bi 3.30

***

The highest E belongs to which entry? KSn2Hg4